## Ga3BCl (PBE)

Data for a geometry-optimized Ga3BCl structure.

Uncorrected formation energy (eV/atom): 1.23
Magnetization (μB per atom): 0.2159
Calculated volume (Å³/f.u.): 149

Cell and atoms, written as POSCAR:
```
Ga3BCl
1.0
5.301 0.000 0.000
0.000 5.301 0.000
0.000 0.000 5.301
Ga B Cl
3 1 1
Direct
0.000 0.000 0.500
0.000 0.500 0.000
0.500 0.000 0.000
0.500 0.500 0.500
0.000 0.000 0.000
```